Entry 1:
{
  "formula": "Sm2BiTe",
  "functional": "PBE-GGA",
  "state": "relaxed",
  "rho_g_cm3": 8.19,
  "magmom_total_mub_per_atom": 0.00,
  "sg": "Pmmn",
  "formation_energy_uncorrected_ev_per_atom": -1.176,
  "lattice_angstrom": [[4.505, 0.000, 0.000], [0.000, 6.374, 0.000], [0.000, 0.000, 9.000]],
  "species": ["Sm", "Sm", "Sm", "Sm", "Bi", "Bi", "Te", "Te"],
  "frac_coords": [[0.250, 0.250, 0.124], [0.250, 0.250, 0.626], [0.750, 0.750, 0.374], [0.750, 0.750, 0.876], [0.250, 0.750, 0.126], [0.750, 0.250, 0.874], [0.250, 0.750, 0.624], [0.750, 0.250, 0.376]]
}

---

Entry 2:
{
  "formula": "AsOF3",
  "functional": "PBE-GGA",
  "state": "relaxed",
  "rho_g_cm3": 4.14,
  "magmom_total_mub_per_atom": 0.00,
  "sg": "Pm-3m",
  "formation_energy_uncorrected_ev_per_atom": 0.259,
  "lattice_angstrom": [[3.901, 0.000, 0.000], [0.000, 3.901, 0.000], [0.000, 0.000, 3.901]],
  "species": ["As", "O", "F", "F", "F"],
  "frac_coords": [[0.000, 0.000, 0.000], [0.500, 0.500, 0.500], [0.000, 0.500, 0.500], [0.500, 0.000, 0.500], [0.500, 0.500, 0.000]]
}

---

Entry 3:
{
  "formula": "Ac2MnZn",
  "functional": "PBE-GGA",
  "state": "relaxed",
  "rho_g_cm3": 8.12,
  "magmom_total_mub_per_atom": 0.84,
  "formation_enthalpy_0k_kcal_per_mol_atoms": 1.62,
  "sg": "P4/mmm",
  "lattice_angstrom": [[5.540, 0.000, 0.000], [0.000, 5.540, 0.000], [0.000, 0.000, 3.828]],
  "species": ["Ac", "Ac", "Mn", "Zn"],
  "frac_coords": [[0.000, 0.500, 0.000], [0.500, 0.000, 0.000], [0.000, 0.000, 0.500], [0.500, 0.500, 0.500]]
}

---

Entry 4:
{
  "formula": "CoRe2As",
  "functional": "PBE-GGA",
  "state": "relaxed",
  "rho_g_cm3": 15.22,
  "magmom_total_mub_per_atom": 0.06,
  "formation_enthalpy_0k_kcal_per_mol_atoms": 8.10,
  "sg": "I-4m2",
  "lattice_angstrom": [[-1.909, 1.909, 3.791], [1.909, -1.909, 3.791], [1.909, 1.909, -3.791]],
  "species": ["Co", "Re", "Re", "As"],
  "frac_coords": [[0.000, 0.000, 0.000], [0.250, 0.750, 0.500], [0.500, 0.500, 0.000], [0.750, 0.250, 0.500]]
}

---

Entry 5:
{
  "formula": "LaHo2Mn",
  "functional": "PBE-GGA",
  "state": "relaxed",
  "rho_g_cm3": 7.77,
  "magmom_total_mub_per_atom": 0.73,
  "formation_enthalpy_0k_kcal_per_mol_atoms": 2.58,
  "sg": "P4/mmm",
  "lattice_angstrom": [[3.488, 0.000, 0.000], [0.000, 3.488, 0.000], [0.000, 0.000, 9.195]],
  "species": ["La", "Ho", "Ho", "Mn"],
  "frac_coords": [[0.000, 0.000, 0.000], [0.500, 0.500, 0.312], [0.500, 0.500, 0.688], [0.000, 0.000, 0.500]]
}

---

Entry 6:
{
  "formula": "Fe2ReNi",
  "functional": "PBE-GGA",
  "state": "relaxed",
  "rho_g_cm3": 11.94,
  "magmom_total_mub_per_atom": 1.20,
  "formation_enthalpy_0k_kcal_per_mol_atoms": 2.66,
  "sg": "P2/m",
  "lattice_angstrom": [[2.520, 0.000, 0.000], [0.000, 4.223, 0.000], [-0.531, 0.000, 4.659]],
  "species": ["Fe", "Fe", "Re", "Ni"],
  "frac_coords": [[0.235, 0.000, 0.253], [0.765, 0.000, 0.747], [0.500, 0.500, 0.000], [0.000, 0.500, 0.500]]
}

---

Entry 7:
{
  "formula": "Zn2IBr6",
  "functional": "PBE-GGA",
  "state": "relaxed",
  "rho_g_cm3": 3.33,
  "magmom_total_mub_per_atom": 0.34,
  "sg": "C2/c",
  "formation_energy_uncorrected_ev_per_atom": -0.408,
  "lattice_angstrom": [[7.864, -7.783, 0.000], [7.864, 7.783, 0.000], [-2.784, 0.000, 6.013]],
  "species": ["Zn", "Zn", "Zn", "Zn", "I", "I", "Br", "Br", "Br", "Br", "Br", "Br", "Br", "Br", "Br", "Br", "Br", "Br"],
  "frac_coords": [[0.178, 0.321, 0.173], [0.321, 0.178, 0.673], [0.679, 0.822, 0.327], [0.822, 0.679, 0.827], [0.250, 0.750, 0.250], [0.750, 0.250, 0.750], [0.029, 0.751, 0.832], [0.172, 0.327, 0.802], [0.249, 0.971, 0.668], [0.253, 0.529, 0.448], [0.327, 0.172, 0.302], [0.471, 0.747, 0.052], [0.529, 0.253, 0.948], [0.673, 0.828, 0.698], [0.747, 0.471, 0.552], [0.751, 0.029, 0.332], [0.828, 0.673, 0.198], [0.971, 0.249, 0.168]]
}

---

Entry 8:
{
  "formula": "SrZrRh2F",
  "functional": "PBE-GGA",
  "state": "relaxed",
  "rho_g_cm3": 6.12,
  "magmom_total_mub_per_atom": 0.00,
  "sg": "P4/mmm",
  "formation_energy_uncorrected_ev_per_atom": -0.837,
  "lattice_angstrom": [[5.028, 0.000, 0.000], [0.000, 5.028, 0.000], [0.000, 0.000, 4.334]],
  "species": ["Sr", "Zr", "Rh", "Rh", "F"],
  "frac_coords": [[0.000, 0.000, 0.000], [0.500, 0.500, 0.500], [0.000, 0.500, 0.500], [0.500, 0.000, 0.500], [0.500, 0.500, 0.000]]
}

---

Entry 9:
{
  "formula": "RbCd9Pb4",
  "functional": "PBE-GGA",
  "state": "relaxed",
  "rho_g_cm3": 7.93,
  "magmom_total_mub_per_atom": 0.00,
  "formation_enthalpy_0k_kcal_per_mol_atoms": -0.17,
  "sg": "I4/mcm",
  "lattice_angstrom": [[-5.231, 5.231, 7.373], [5.231, -5.231, 7.373], [5.231, 5.231, -7.373]],
  "species": ["Rb", "Rb", "Cd", "Cd", "Cd", "Cd", "Cd", "Cd", "Cd", "Cd", "Cd", "Cd", "Cd", "Cd", "Cd", "Cd", "Cd", "Cd", "Cd", "Cd", "Pb", "Pb", "Pb", "Pb", "Pb", "Pb", "Pb", "Pb"],
  "frac_coords": [[0.250, 0.250, 0.000], [0.750, 0.750, 0.000], [0.000, 0.500, 0.500], [0.041, 0.799, 0.840], [0.066, 0.566, 0.284], [0.201, 0.041, 0.241], [0.218, 0.934, 0.500], [0.282, 0.782, 0.716], [0.299, 0.541, 0.840], [0.434, 0.718, 0.500], [0.459, 0.299, 0.759], [0.500, 0.000, 0.500], [0.541, 0.701, 0.241], [0.566, 0.282, 0.500], [0.701, 0.459, 0.160], [0.718, 0.218, 0.284], [0.782, 0.066, 0.500], [0.799, 0.959, 0.759], [0.934, 0.434, 0.716], [0.959, 0.201, 0.160], [0.061, 0.182, 0.500], [0.182, 0.682, 0.121], [0.318, 0.439, 0.500], [0.439, 0.939, 0.121], [0.561, 0.061, 0.879], [0.682, 0.561, 0.500], [0.818, 0.318, 0.879], [0.939, 0.818, 0.500]]
}

---

Entry 10:
{
  "formula": "La3HgIrCl",
  "functional": "PBE-GGA",
  "state": "relaxed",
  "rho_g_cm3": 7.68,
  "magmom_total_mub_per_atom": 0.00,
  "sg": "P2_1/m",
  "formation_energy_uncorrected_ev_per_atom": -0.911,
  "lattice_angstrom": [[7.845, 0.000, 0.000], [0.000, 4.395, 0.000], [-2.019, 0.000, 10.601]],
  "species": ["La", "La", "La", "La", "La", "La", "Hg", "Hg", "Ir", "Ir", "Cl", "Cl"],
  "frac_coords": [[0.077, 0.250, 0.375], [0.197, 0.250, 0.929], [0.412, 0.750, 0.644], [0.588, 0.250, 0.356], [0.803, 0.750, 0.071], [0.923, 0.750, 0.625], [0.226, 0.750, 0.192], [0.774, 0.250, 0.808], [0.172, 0.250, 0.648], [0.828, 0.750, 0.352], [0.430, 0.750, 0.904], [0.570, 0.250, 0.096]]
}

---

Entry 11:
{
  "formula": "RbAuI3",
  "functional": "PBE-GGA",
  "state": "relaxed",
  "rho_g_cm3": 3.74,
  "magmom_total_mub_per_atom": 0.00,
  "sg": "Amm2",
  "formation_energy_uncorrected_ev_per_atom": -0.442,
  "lattice_angstrom": [[4.232, 0.000, 0.000], [0.000, 3.763, 9.253], [0.000, -3.763, 9.253]],
  "species": ["Rb", "Au", "I", "I", "I"],
  "frac_coords": [[0.000, 0.000, 0.000], [0.500, 0.686, 0.686], [0.000, 0.425, 0.922], [0.000, 0.922, 0.425], [0.500, 0.855, 0.855]]
}

---

Entry 12:
{
  "formula": "K3Hg3Pd2",
  "functional": "PBE-GGA",
  "state": "relaxed",
  "rho_g_cm3": 6.35,
  "magmom_total_mub_per_atom": 0.00,
  "formation_enthalpy_0k_kcal_per_mol_atoms": -4.99,
  "sg": "Pnma",
  "lattice_angstrom": [[9.091, 0.000, 0.000], [0.000, 16.513, 0.000], [0.000, 0.000, 6.498]],
  "species": ["K", "K", "K", "K", "K", "K", "K", "K", "K", "K", "K", "K", "Hg", "Hg", "Hg", "Hg", "Hg", "Hg", "Hg", "Hg", "Hg", "Hg", "Hg", "Hg", "Pd", "Pd", "Pd", "Pd", "Pd", "Pd", "Pd", "Pd"],
  "frac_coords": [[0.040, 0.104, 0.114], [0.040, 0.396, 0.114], [0.196, 0.250, 0.599], [0.304, 0.750, 0.099], [0.460, 0.604, 0.614], [0.460, 0.896, 0.614], [0.540, 0.104, 0.386], [0.540, 0.396, 0.386], [0.696, 0.250, 0.901], [0.804, 0.750, 0.401], [0.960, 0.604, 0.886], [0.960, 0.896, 0.886], [0.155, 0.750, 0.568], [0.174, 0.040, 0.619], [0.174, 0.460, 0.619], [0.326, 0.540, 0.119], [0.326, 0.960, 0.119], [0.345, 0.250, 0.068], [0.655, 0.750, 0.932], [0.674, 0.040, 0.881], [0.674, 0.460, 0.881], [0.826, 0.540, 0.381], [0.826, 0.960, 0.381], [0.845, 0.250, 0.432], [0.116, 0.599, 0.390], [0.116, 0.901, 0.390], [0.384, 0.099, 0.890], [0.384, 0.401, 0.890], [0.616, 0.599, 0.110], [0.616, 0.901, 0.110], [0.884, 0.099, 0.610], [0.884, 0.401, 0.610]]
}

---

Entry 13:
{
  "formula": "NdY3Hg",
  "functional": "PBE-GGA",
  "state": "relaxed",
  "rho_g_cm3": 6.45,
  "magmom_total_mub_per_atom": 0.00,
  "formation_enthalpy_0k_kcal_per_mol_atoms": -2.57,
  "sg": "C2/m",
  "lattice_angstrom": [[5.696, -3.710, 0.000], [5.696, 3.710, 0.000], [-2.750, 0.000, 7.449]],
  "species": ["Nd", "Nd", "Y", "Y", "Y", "Y", "Y", "Y", "Hg", "Hg"],
  "frac_coords": [[0.064, 0.064, 0.233], [0.936, 0.936, 0.767], [0.090, 0.592, 0.357], [0.408, 0.910, 0.643], [0.438, 0.438, 0.757], [0.562, 0.562, 0.243], [0.592, 0.090, 0.357], [0.910, 0.408, 0.643], [0.262, 0.262, 0.000], [0.738, 0.738, 0.000]]
}

---

Entry 14:
{
  "formula": "InSnGePb",
  "functional": "PBE-GGA",
  "state": "relaxed",
  "rho_g_cm3": 7.97,
  "magmom_total_mub_per_atom": 0.00,
  "formation_enthalpy_0k_kcal_per_mol_atoms": 4.10,
  "sg": "F-43m",
  "lattice_angstrom": [[0.000, 3.767, 3.767], [3.767, 0.000, 3.767], [3.767, 3.767, 0.000]],
  "species": ["In", "Sn", "Ge", "Pb"],
  "frac_coords": [[0.000, 0.000, 0.000], [0.250, 0.250, 0.250], [0.500, 0.500, 0.500], [0.750, 0.750, 0.750]]
}

---

Entry 15:
{
  "formula": "HfAl3Co",
  "functional": "PBE-GGA",
  "state": "relaxed",
  "rho_g_cm3": 3.89,
  "magmom_total_mub_per_atom": 0.34,
  "formation_enthalpy_0k_kcal_per_mol_atoms": 35.71,
  "sg": "Pm-3m",
  "lattice_angstrom": [[5.140, 0.000, 0.000], [0.000, 5.140, 0.000], [0.000, 0.000, 5.140]],
  "species": ["Hf", "Al", "Al", "Al", "Co"],
  "frac_coords": [[0.000, 0.000, 0.000], [0.000, 0.000, 0.500], [0.000, 0.500, 0.000], [0.500, 0.000, 0.000], [0.500, 0.500, 0.500]]
}

---

Entry 16:
{
  "formula": "Ag9Te4Br3",
  "functional": "PBE-GGA",
  "state": "relaxed",
  "rho_g_cm3": 6.52,
  "magmom_total_mub_per_atom": 0.00,
  "sg": "P1",
  "formation_energy_uncorrected_ev_per_atom": -0.124,
  "lattice_angstrom": [[7.796, 0.000, 0.000], [-3.724, 6.945, 0.000], [-0.118, -0.303, 8.100]],
  "species": ["Ag", "Ag", "Ag", "Ag", "Ag", "Ag", "Ag", "Ag", "Ag", "Te", "Te", "Te", "Te", "Br", "Br", "Br"],
  "frac_coords": [[0.000, 0.000, 0.000], [0.004, 0.081, 0.364], [0.261, 0.379, 0.861], [0.336, 0.027, 0.194], [0.391, 0.900, 0.677], [0.643, 0.651, 0.005], [0.650, 0.708, 0.380], [0.754, 0.274, 0.729], [0.949, 0.343, 0.094], [0.320, 0.382, 0.199], [0.614, 0.005, 0.973], [0.634, 0.055, 0.415], [0.964, 0.692, 0.205], [0.113, 0.023, 0.677], [0.118, 0.526, 0.635], [0.613, 0.528, 0.678]]
}

---

Entry 17:
{
  "formula": "Li3PaCu8",
  "functional": "PBE-GGA",
  "state": "relaxed",
  "rho_g_cm3": 7.26,
  "magmom_total_mub_per_atom": 0.00,
  "formation_enthalpy_0k_kcal_per_mol_atoms": -0.51,
  "sg": "R3m",
  "lattice_angstrom": [[2.489, 1.437, 8.100], [-2.489, 1.437, 8.100], [0.000, -2.874, 8.100]],
  "species": ["Li", "Li", "Li", "Pa", "Cu", "Cu", "Cu", "Cu", "Cu", "Cu", "Cu", "Cu"],
  "frac_coords": [[0.000, 0.000, 0.000], [0.116, 0.116, 0.116], [0.483, 0.483, 0.483], [0.613, 0.613, 0.613], [0.049, 0.049, 0.551], [0.049, 0.551, 0.049], [0.052, 0.552, 0.552], [0.302, 0.302, 0.302], [0.551, 0.049, 0.049], [0.552, 0.052, 0.552], [0.552, 0.552, 0.052], [0.800, 0.800, 0.800]]
}

---

Entry 18:
{
  "formula": "YMg2V3S8",
  "functional": "PBE-GGA",
  "state": "relaxed",
  "rho_g_cm3": 3.16,
  "magmom_total_mub_per_atom": 0.43,
  "sg": "R-3m",
  "formation_energy_uncorrected_ev_per_atom": -1.179,
  "lattice_angstrom": [[3.677, 2.123, 6.133], [-3.677, 2.123, 6.133], [0.000, -4.246, 6.133]],
  "species": ["Y", "Mg", "Mg", "V", "V", "V", "S", "S", "S", "S", "S", "S", "S", "S"],
  "frac_coords": [[0.000, 0.000, 0.000], [0.373, 0.373, 0.373], [0.627, 0.627, 0.627], [0.000, 0.000, 0.500], [0.000, 0.500, 0.000], [0.500, 0.000, 0.000], [0.223, 0.745, 0.745], [0.238, 0.238, 0.238], [0.255, 0.255, 0.777], [0.255, 0.777, 0.255], [0.745, 0.223, 0.745], [0.745, 0.745, 0.223], [0.762, 0.762, 0.762], [0.777, 0.255, 0.255]]
}

---

Entry 19:
{
  "formula": "AcYAg",
  "functional": "PBE-GGA",
  "state": "relaxed",
  "rho_g_cm3": 7.31,
  "magmom_total_mub_per_atom": 0.00,
  "formation_enthalpy_0k_kcal_per_mol_atoms": -0.40,
  "sg": "P-6m2",
  "lattice_angstrom": [[5.210, 0.000, 0.000], [-2.605, 4.512, 0.000], [0.000, 0.000, 4.092]],
  "species": ["Ac", "Y", "Ag"],
  "frac_coords": [[0.000, 0.000, 0.000], [0.667, 0.333, 0.500], [0.333, 0.667, 0.500]]
}

---

Entry 20:
{
  "formula": "LiY2SbO",
  "functional": "PBE-GGA",
  "state": "relaxed",
  "rho_g_cm3": 5.53,
  "magmom_total_mub_per_atom": 0.00,
  "sg": "P4/mmm",
  "formation_energy_uncorrected_ev_per_atom": -1.562,
  "lattice_angstrom": [[4.799, 0.000, 0.000], [0.000, 4.799, 0.000], [0.000, 0.000, 4.202]],
  "species": ["Li", "Y", "Y", "Sb", "O"],
  "frac_coords": [[0.000, 0.000, 0.000], [0.000, 0.500, 0.500], [0.500, 0.000, 0.500], [0.500, 0.500, 0.000], [0.000, 0.000, 0.500]]
}